Record 1
CePa2Ir (PBE, optimized geometry); V = 101 Å³ per cell; DFT formation energy = 0.0076 eV/atom; DFT total energy = -8.439 eV per atom; polymorph energy (0 for the lowest one) = 1.22 eV per formula unit; total moment = 0.00 μB/atom; space-group type = R-3m
1.0
1.726 0.997 9.739
-1.726 0.997 9.739
0.000 -1.994 9.739
Ce Pa Ir
1 2 1
Direct
0.000 0.000 0.000
0.100 0.100 0.100
0.900 0.900 0.900
0.500 0.500 0.500

Record 2
CePaIr (PBE, optimized geometry); V = 145 Å³ per cell; DFT formation energy = -0.1904 eV/atom; DFT total energy = -8.287 eV per atom; polymorph energy (0 for the lowest one) = 1.00 eV per formula unit; total moment = 0.00 μB/atom; space-group type = P2_1/m
1.0
5.619 0.000 0.000
0.000 3.474 0.000
-1.324 0.000 7.449
Ce Pa Ir
2 2 2
Direct
0.233 0.250 0.439
0.767 0.750 0.561
0.314 0.750 0.810
0.686 0.250 0.190
0.194 0.250 0.052
0.806 0.750 0.948

Record 3
CePaIr4 (PBE, optimized geometry); V = 110 Å³ per cell; DFT formation energy = -0.7797 eV/atom; DFT total energy = -9.259 eV per atom; total moment = 0.00 μB/atom; space-group type = F-43m
1.0
0.000 3.799 3.799
3.799 0.000 3.799
3.799 3.799 0.000
Ce Pa Ir
1 1 4
Direct
0.000 0.000 0.000
0.250 0.250 0.250
0.125 0.625 0.625
0.625 0.125 0.625
0.625 0.625 0.125
0.625 0.625 0.625

Record 4
CePaIr (PBE, optimized geometry); V = 68 Å³ per cell; DFT formation energy = -0.4249 eV/atom; DFT total energy = -8.522 eV per atom; polymorph energy (0 for the lowest one) = 0.29 eV per formula unit; total moment = 0.00 μB/atom; space-group type = P3m1
1.0
4.490 0.000 0.000
-2.245 3.889 0.000
0.000 0.000 3.883
Ce Pa Ir
1 1 1
Direct
0.000 0.000 0.000
0.667 0.333 0.346
0.333 0.667 0.646

Record 5
Ce8PaIr2 (PBE, optimized geometry); V = 287 Å³ per cell; DFT formation energy = -0.0974 eV/atom; DFT total energy = -6.887 eV per atom; total moment = 0.22 μB/atom; space-group type = C2/m
1.0
6.767 -3.681 0.000
6.767 3.681 0.000
-1.856 0.000 5.752
Ce Pa Ir
8 1 2
Direct
0.072 0.072 0.299
0.129 0.665 0.174
0.322 0.322 0.697
0.335 0.871 0.826
0.665 0.129 0.174
0.678 0.678 0.303
0.871 0.335 0.826
0.928 0.928 0.701
0.500 0.500 0.500
0.249 0.249 0.174
0.751 0.751 0.826

Record 6
CePaIr (PBE, optimized geometry); V = 68 Å³ per cell; DFT formation energy = -0.4842 eV/atom; DFT total energy = -8.581 eV per atom; polymorph energy (0 for the lowest one) = 0.12 eV per formula unit; total moment = 0.21 μB/atom; space-group type = I4mm
1.0
-1.819 1.819 5.163
1.819 -1.819 5.163
1.819 1.819 -5.163
Ce Pa Ir
1 1 1
Direct
0.000 0.000 0.000
0.701 0.701 0.000
0.324 0.324 0.000

Record 7
CePa2Ir3 (PBE, optimized geometry); V = 525 Å³ per cell; DFT formation energy = -0.8827 eV/atom; DFT total energy = -9.468 eV per atom; total moment = 0.00 μB/atom; space-group type = P2_1/c
1.0
5.966 0.000 0.000
0.000 12.345 0.000
-2.781 0.000 7.127
Ce Pa Ir
4 8 12
Direct
0.220 0.083 0.184
0.220 0.417 0.684
0.780 0.583 0.316
0.780 0.917 0.816
0.227 0.083 0.687
0.227 0.417 0.187
0.227 0.749 0.186
0.227 0.751 0.686
0.773 0.249 0.314
0.773 0.251 0.814
0.773 0.583 0.813
0.773 0.917 0.313
0.293 0.586 0.957
0.293 0.914 0.457
0.295 0.248 0.457
0.295 0.252 0.957
0.313 0.588 0.458
0.313 0.912 0.958
0.687 0.088 0.042
0.687 0.412 0.542
0.705 0.748 0.043
0.705 0.752 0.543
0.707 0.086 0.543
0.707 0.414 0.043

Record 8
CePaIr (PBE, optimized geometry); V = 78 Å³ per cell; DFT formation energy = -0.2793 eV/atom; DFT total energy = -8.376 eV per atom; polymorph energy (0 for the lowest one) = 0.73 eV per formula unit; total moment = 0.00 μB/atom; space-group type = F-43m
1.0
0.000 3.386 3.386
3.386 0.000 3.386
3.386 3.386 0.000
Ce Pa Ir
1 1 1
Direct
0.000 0.000 0.000
0.500 0.500 0.500
0.750 0.750 0.750